(1)
Material: RbBi3Ir
Method: DFT, PBE
State: relaxed

Energy relative to the lowest polymorph listed for this composition (kcal/mol of atoms): 46.27

Cell lengths 5.924, 5.924, 5.924 Å; angles 90.00, 90.00, 90.00 degrees
Sites, in units of the cell vectors:
Ir (0.500, 0.500, 0.500)
Bi (0.000, 0.500, 0.000)
Bi (0.000, 0.000, 0.500)
Bi (0.500, 0.000, 0.000)
Rb (0.000, 0.000, 0.000)

=====

(2)
Material: Li3GaPd3
Method: DFT, PBE
State: relaxed

Energy relative to the lowest polymorph listed for this composition (kcal/mol of atoms): 2.61

Cell lengths 5.401, 5.401, 8.047 Å; angles 91.31, 91.31, 111.05 degrees
Sites, in units of the cell vectors:
Li (0.554, 0.554, 0.322)
Li (0.164, 0.836, 0.500)
Li (0.836, 0.164, 0.500)
Li (0.236, 0.764, 0.000)
Li (0.764, 0.236, 0.000)
Li (0.446, 0.446, 0.678)
Ga (0.712, 0.712, 0.958)
Ga (0.288, 0.288, 0.042)
Pd (0.957, 0.957, 0.218)
Pd (0.963, 0.513, 0.747)
Pd (0.513, 0.963, 0.747)
Pd (0.037, 0.487, 0.253)
Pd (0.487, 0.037, 0.253)
Pd (0.043, 0.043, 0.782)

=====

(3)
Material: TbSm2ThP4
Method: DFT, PBE
State: relaxed

Cell lengths 4.103, 7.088, 7.101 Å; angles 109.45, 90.00, 90.00 degrees
Sites, in units of the cell vectors:
Tb (0.000, 0.000, 0.000)
Sm (0.500, 0.000, 0.500)
Sm (0.000, 0.500, 0.500)
Th (0.500, 0.500, 0.000)
P (0.500, 0.247, 0.246)
P (0.500, 0.753, 0.754)
P (0.000, 0.248, 0.752)
P (0.000, 0.752, 0.248)

=====

| no. | energy (eV for the cell shown) | calculated formation energy (eV/atom) |
| --- | --- | --- |
| 1 | -10.165 | 2.2612 |
| 2 | -54.307 | -0.4010 |
| 3 | -55.931 | -1.6004 |